1.
The following is a PBE calculation of crystalline BaCuSn2 at its relaxed geometry, from the Alexandria database.

Geometry as POSCAR:
```
BaCuSn2
1.0
-2.794 2.794 8.839
2.794 -2.794 8.839
2.794 2.794 -8.839
Ba Cu Sn
2 2 4
direct
0.000 0.000 0.000
0.750 0.250 0.500
0.250 0.750 0.500
0.500 0.500 0.000
0.327 0.625 0.202
0.375 0.577 0.702
0.423 0.125 0.798
0.875 0.673 0.298
```

Results
VASP energy   -3.683 eV/atom


2.
The following is a PBE calculation of crystalline IrPt2Cl at its relaxed geometry, from the Alexandria database.

Geometry as POSCAR:
```
IrPt2Cl
1.0
3.833 0.000 0.000
0.000 3.833 0.000
0.000 0.000 4.377
Ir Pt Cl
1 2 1
direct
0.000 0.000 0.000
0.000 0.500 0.500
0.500 0.000 0.500
0.500 0.500 0.000
```

Results
E_form (uncorrected)   0.93 eV/atom
VASP energy   -4.767 eV/atom
ΔE to the lowest computed polymorph   62.0 kJ per mole of atoms


3.
The following is a PBE calculation of crystalline PrDy2Ir at its relaxed geometry, from the Alexandria database.

Geometry as POSCAR:
```
PrDy2Ir
1.0
2.013 1.162 8.869
-2.013 1.162 8.869
0.000 -2.325 8.869
Pr Dy Ir
1 2 1
direct
0.000 0.000 0.000
0.553 0.553 0.553
0.776 0.776 0.776
0.164 0.164 0.164
```

Results
VASP energy   -6.089 eV/atom
ΔE to the lowest computed polymorph   14.4 kJ per mole of atoms


4.
The following is a PBE calculation of crystalline RbNdCuF6 at its relaxed geometry, from the Alexandria database.

Geometry as POSCAR:
```
RbNdCuF6
1.0
-3.840 3.879 5.104
3.840 -3.879 5.104
3.840 3.879 -5.104
Rb Nd Cu F
2 2 2 12
direct
0.418 0.168 0.250
0.582 0.832 0.750
0.000 0.000 0.500
0.000 0.500 0.000
0.000 0.500 0.500
0.500 0.500 0.000
0.131 0.881 0.250
0.138 0.388 0.750
0.150 0.447 0.333
0.150 0.818 0.704
0.386 0.182 0.833
0.386 0.553 0.204
0.614 0.447 0.796
0.614 0.818 0.167
0.850 0.182 0.296
0.850 0.553 0.667
0.862 0.612 0.250
0.869 0.119 0.750
```

Results
E_form (uncorrected)   -2.92 eV/atom
VASP energy   -5.260 eV/atom


5.
The following is a PBE calculation of crystalline Rb3CdAu3 at its relaxed geometry, from the Alexandria database.

Geometry as POSCAR:
```
Rb3CdAu3
1.0
6.287 -2.492 0.000
6.287 2.492 0.000
-6.040 0.000 15.468
Rb Cd Au
6 2 6
direct
0.020 0.020 0.268
0.178 0.178 0.576
0.359 0.359 0.875
0.641 0.641 0.125
0.822 0.822 0.424
0.980 0.980 0.732
0.327 0.327 0.083
0.673 0.673 0.917
0.088 0.088 0.964
0.321 0.321 0.260
0.476 0.476 0.580
0.524 0.524 0.420
0.679 0.679 0.740
0.912 0.912 0.036
```

Results
VASP energy   -2.219 eV/atom
ΔE to the lowest computed polymorph   0.0 kJ per mole of atoms


6.
The following is a PBE calculation of crystalline MgMn2Se at its relaxed geometry, from the Alexandria database.

Geometry as POSCAR:
```
MgMn2Se
1.0
3.908 0.000 0.000
0.000 3.908 0.000
0.000 0.000 4.363
Mg Mn Se
1 2 1
direct
0.000 0.000 0.000
0.000 0.500 0.500
0.500 0.000 0.500
0.500 0.500 0.000
```

Results
E_form (uncorrected)   0.11 eV/atom
VASP energy   -5.746 eV/atom
ΔE to the lowest computed polymorph   8.5 kJ per mole of atoms


Copy entry 6 word for word.
The following is a PBE calculation of crystalline MgMn2Se at its relaxed geometry, from the Alexandria database.

Geometry as POSCAR:
```
MgMn2Se
1.0
3.908 0.000 0.000
0.000 3.908 0.000
0.000 0.000 4.363
Mg Mn Se
1 2 1
direct
0.000 0.000 0.000
0.000 0.500 0.500
0.500 0.000 0.500
0.500 0.500 0.000
```

Results
E_form (uncorrected)   0.11 eV/atom
VASP energy   -5.746 eV/atom
ΔE to the lowest computed polymorph   8.5 kJ per mole of atoms


Question: Which of these has the lowest VASP energy?
Answer: PrDy2Ir


Please write out number 3 again, unchanged.
The following is a PBE calculation of crystalline PrDy2Ir at its relaxed geometry, from the Alexandria database.

Geometry as POSCAR:
```
PrDy2Ir
1.0
2.013 1.162 8.869
-2.013 1.162 8.869
0.000 -2.325 8.869
Pr Dy Ir
1 2 1
direct
0.000 0.000 0.000
0.553 0.553 0.553
0.776 0.776 0.776
0.164 0.164 0.164
```

Results
VASP energy   -6.089 eV/atom
ΔE to the lowest computed polymorph   14.4 kJ per mole of atoms


Please write out number 5 again, unchanged.
The following is a PBE calculation of crystalline Rb3CdAu3 at its relaxed geometry, from the Alexandria database.

Geometry as POSCAR:
```
Rb3CdAu3
1.0
6.287 -2.492 0.000
6.287 2.492 0.000
-6.040 0.000 15.468
Rb Cd Au
6 2 6
direct
0.020 0.020 0.268
0.178 0.178 0.576
0.359 0.359 0.875
0.641 0.641 0.125
0.822 0.822 0.424
0.980 0.980 0.732
0.327 0.327 0.083
0.673 0.673 0.917
0.088 0.088 0.964
0.321 0.321 0.260
0.476 0.476 0.580
0.524 0.524 0.420
0.679 0.679 0.740
0.912 0.912 0.036
```

Results
VASP energy   -2.219 eV/atom
ΔE to the lowest computed polymorph   0.0 kJ per mole of atoms